# TlOsSe2

A relaxed structure of TlOsSe2 (PBE-GGA, Alexandria via LeMat-Bulk).

Geometry as extended XYZ:
```
4
Lattice="3.008 -3.532 -1.174 -1.717 -4.286 -1.259 0.315 -1.463 -4.546" Properties=species:S:1:pos:R:3 pbc="T T T"
Os 0.000 0.000 0.000
Se 1.205 -6.961 -5.234
Se 0.402 -2.320 -1.745
Tl 0.803 -4.641 -3.489
```

Summary:
crystal system: cubic
uncorrected formation energy: 0.7760 eV per atom
mass density: 11837 kg/m3
total energy: -4.365 eV/atom